# CdFe2Tc GGA-PBE relaxed
data_CdFe2Tc
_cell_length_a 9.306
_cell_length_b 2.802
_cell_length_c 4.608
_cell_angle_alpha 90.00
_cell_angle_beta 107.63
_cell_angle_gamma 90.00
_symmetry_space_group_name_H-M 'C 1 m 1'
_symmetry_Int_Tables_number 8
loop_
_symmetry_equiv_pos_as_xyz
'x,y,z'
'x,-y,z'
'x+1/2,y+1/2,z'
'x+1/2,-y+1/2,z'
loop_
_atom_site_label
_atom_site_fract_x
_atom_site_fract_y
_atom_site_fract_z
Cd1 0.000 0.000 0.000
Fe1 0.264 0.500 0.237
Fe2 0.481 0.000 0.488
Tc1 0.224 0.000 0.677
# E_form   34.6 kJ per mole of atoms
# D(E_F)   3.8 states/eV/f.u.

# ZnMoBr GGA-PBE relaxed
data_ZnMoBr
_cell_length_a 4.5651
_cell_length_b 4.5651
_cell_length_c 2.9235
_cell_angle_alpha 90.00
_cell_angle_beta 90.00
_cell_angle_gamma 120.00
_symmetry_space_group_name_H-M 'P -6 m 2'
_symmetry_Int_Tables_number 187
_symmetry_space_group_name_Hall 'P -6 2'
loop_
_atom_site_label
_atom_site_fract_x
_atom_site_fract_y
_atom_site_fract_z
Zn1 0.0000 0.0000 0.0000
Mo1 0.6667 0.3333 0.5000
Br1 0.3333 0.6667 0.5000
# E_form (uncorrected)   0.704 eV per atom
# D(E_F)   2.2 states/eV/f.u.

# NiCl5 GGA-PBE relaxed
data_NiCl5
_cell_length_a 2.881
_cell_length_b 2.881
_cell_length_c 18.003
_cell_angle_alpha 90.00
_cell_angle_beta 90.00
_cell_angle_gamma 90.00
_symmetry_space_group_name_H-M 'P 4/m m m'
_symmetry_Int_Tables_number 123
_symmetry_space_group_name_Hall '-P 4 2'
loop_
_atom_site_label
_atom_site_fract_x
_atom_site_fract_y
_atom_site_fract_z
Ni1 0.000 0.000 0.000
Cl1 0.000 0.000 0.284
Cl2 0.500 0.500 0.084
Cl3 0.500 0.500 0.500
# E_form (uncorrected)   0.315 eV per atom
# D(E_F)   6.1 states/eV/f.u.

# CsNb3W GGA-PBE relaxed
data_CsNb3W
_cell_length_a 4.946
_cell_length_b 4.946
_cell_length_c 4.946
_cell_angle_alpha 90.00
_cell_angle_beta 90.00
_cell_angle_gamma 90.00
_symmetry_space_group_name_H-M 'P m -3 m'
_symmetry_Int_Tables_number 221
_symmetry_space_group_name_Hall '-P 4 2 3'
loop_
_atom_site_label
_atom_site_fract_x
_atom_site_fract_y
_atom_site_fract_z
Cs1 0.000 0.000 0.000
Nb1 0.000 0.000 0.500
W1 0.500 0.500 0.500
# E_form   310.2 kJ per mole of atoms
# D(E_F)   7.0 states/eV/f.u.

# LiZrIn GGA-PBE relaxed
data_LiZrIn
_cell_length_a 3.095
_cell_length_b 4.542
_cell_length_c 8.979
_cell_angle_alpha 90.00
_cell_angle_beta 90.00
_cell_angle_gamma 90.00
_symmetry_space_group_name_H-M 'I m m 2'
_symmetry_Int_Tables_number 44
loop_
_symmetry_equiv_pos_as_xyz
'x,y,z'
'-x,-y,z'
'-x,y,z'
'x,-y,z'
'x+1/2,y+1/2,z+1/2'
'-x+1/2,-y+1/2,z+1/2'
'-x+1/2,y+1/2,z+1/2'
'x+1/2,-y+1/2,z+1/2'
loop_
_atom_site_label
_atom_site_fract_x
_atom_site_fract_y
_atom_site_fract_z
Li1 0.000 0.000 0.000
Zr1 0.000 0.000 0.673
In1 0.000 0.000 0.334
# E_form   -0.2 kJ per mole of atoms
# D(E_F)   1.9 states/eV/f.u.

# Er4HgPSe2 GGA-PBE relaxed
data_Er4HgPSe2
_cell_length_a 7.110
_cell_length_b 3.990
_cell_length_c 7.172
_cell_angle_alpha 90.00
_cell_angle_beta 108.46
_cell_angle_gamma 90.00
_symmetry_space_group_name_H-M 'P 1 2/m 1'
_symmetry_Int_Tables_number 10
loop_
_symmetry_equiv_pos_as_xyz
'x,y,z'
'-x,-y,-z'
'-x,y,-z'
'x,-y,z'
loop_
_atom_site_label
_atom_site_fract_x
_atom_site_fract_y
_atom_site_fract_z
Er1 0.237 0.000 0.234
Er2 0.249 0.500 0.762
Hg1 0.000 0.000 0.500
P1 0.000 0.500 0.000
Se1 0.500 0.000 0.000
Se2 0.500 0.500 0.500
# E_form (uncorrected)   -1.341 eV per atom
# D(E_F)   4.5 states/eV/f.u.

# Tb3Pm6Y2Sc GGA-PBE relaxed
data_Tb3Pm6Y2Sc
_cell_length_a 6.223
_cell_length_b 10.777
_cell_length_c 11.782
_cell_angle_alpha 90.00
_cell_angle_beta 100.11
_cell_angle_gamma 90.00
_symmetry_space_group_name_H-M 'C 1 2/m 1'
_symmetry_Int_Tables_number 12
loop_
_symmetry_equiv_pos_as_xyz
'x,y,z'
'-x,-y,-z'
'-x,y,-z'
'x,-y,z'
'x+1/2,y+1/2,z'
'-x+1/2,-y+1/2,-z'
'-x+1/2,y+1/2,-z'
'x+1/2,-y+1/2,z'
loop_
_atom_site_label
_atom_site_fract_x
_atom_site_fract_y
_atom_site_fract_z
Tb1 0.000 0.000 0.000
Tb2 0.000 0.334 0.000
Pm1 0.247 0.335 0.747
Pm2 0.248 0.500 0.252
Y1 0.000 0.167 0.500
Sc1 0.000 0.500 0.500
# E_form   2.2 kJ per mole of atoms
# D(E_F)   14.6 states/eV/f.u.

# Li3GaRe GGA-PBE relaxed
data_Li3GaRe
_cell_length_a 4.286
_cell_length_b 4.286
_cell_length_c 4.286
_cell_angle_alpha 90.00
_cell_angle_beta 90.00
_cell_angle_gamma 90.00
_symmetry_space_group_name_H-M 'P m -3 m'
_symmetry_Int_Tables_number 221
_symmetry_space_group_name_Hall '-P 4 2 3'
loop_
_atom_site_label
_atom_site_fract_x
_atom_site_fract_y
_atom_site_fract_z
Li1 0.000 0.000 0.500
Ga1 0.000 0.000 0.000
Re1 0.500 0.500 0.500
# E_form   114.7 kJ per mole of atoms
# D(E_F)   6.4 states/eV/f.u.

Calculated DFT total energy (eV per atom), listed in the same order as above: -6.69; -3.89; -2.19; -5.59; -4.40; -5.21; -5.11; -3.05